The following is a PBE-GGA calculation of a geometry-optimized PrSm6Dy6 structure, from Alexandria.

Values from the calculation:
Magnetic moment: 0.0 μB/f.u.
Energy of formation: 0.26 eV/atom
DOS at the Fermi energy: 27.71 states/eV/cell
SG: No. 191
DFT total energy: -57.291 eV for the cell shown

Geometry as extended XYZ:
```
13
Lattice="6.6996 0.0000 0.0000 -3.3498 5.8020 0.0000 0.0000 0.0000 11.4669" Properties=species:S:1:pos:R:3 pbc="T T T"
Pr 0.0000 0.0000 0.0000
Sm 0.0000 0.0000 4.0192
Sm 0.0000 0.0000 7.4477
Sm 0.0000 3.8680 0.0000
Sm 0.0000 3.8680 5.7334
Sm 3.3498 1.9340 0.0000
Sm 3.3498 1.9340 5.7334
Dy -1.6749 2.9010 2.8439
Dy -1.6749 2.9010 8.6230
Dy 3.3498 0.0000 2.8439
Dy 3.3498 0.0000 8.6230
Dy 1.6749 2.9010 2.8439
Dy 1.6749 2.9010 8.6230
```